Here is a geometry-optimized Ta2Ag structure from Alexandria. Energies are from PBE-GGA.

Unit cell a=6.987 b=6.987 c=3.525 alpha=90.00 beta=90.00 gamma=141.13
Element x y z (fractional)
Ag: 0.918 0.082 0.750
Ag: 0.082 0.918 0.250
Ta: 0.254 0.746 0.750
Ta: 0.746 0.254 0.250
Ta: 0.416 0.584 0.250
Ta: 0.584 0.416 0.750

Values from the calculation:
Magnetic moment: 0.00 μB per formula unit
Theoretical density: 14.4 Mg/m³
ΔE_f: 0.9 eV/f.u.